Mn4AlCu3O12 | PBE with a Hubbard U | relaxed

## Properties
M_tot: 13.49 μB/f.u.
VASP energy: -6.380 eV/atom
SG: Im-3, No. 204
N(E_F): 11.75 states/eV/f.u.

POSCAR file:
```
Mn4AlCu3O12
1.0
-3.668 3.668 3.668
3.668 -3.668 3.668
3.668 3.668 -3.668
Mn Al O Cu
4 1 12 3
Cartesian
-1.834 1.834 1.834
1.834 1.834 -1.834
1.834 1.834 1.834
1.834 -1.834 1.834
0.000 0.000 0.000
1.233 0.000 5.149
2.187 1.233 0.000
3.668 1.481 2.435
-1.481 2.435 3.668
2.435 3.668 -1.481
0.000 2.187 1.233
1.233 0.000 2.187
2.435 3.668 1.481
3.668 -1.481 2.435
5.149 1.233 0.000
0.000 5.149 1.233
1.481 2.435 3.668
0.000 0.000 3.668
3.668 0.000 0.000
0.000 3.668 0.000
```